(1)
A plane-wave DFT calculation with GGA-PBE was carried out for a relaxed Sr5AcCd6 crystal.

Cell lengths 5.733, 8.197, 9.037 Å; angles 90.00, 71.51, 90.00 degrees
Fractional coordinates of all 12 atoms:
Ac: 0.000 0.000 0.000
Cd: 0.500 0.247 0.000
Cd: 0.166 0.751 0.668
Cd: 0.834 0.751 0.332
Cd: 0.166 0.249 0.668
Cd: 0.834 0.249 0.332
Cd: 0.500 0.753 0.000
Sr: 0.667 0.500 0.667
Sr: 0.668 0.000 0.665
Sr: 0.333 0.500 0.333
Sr: 0.332 0.000 0.335
Sr: 0.000 0.500 0.000

Results
Density of states at the Fermi level ... 8.1 states/eV per cell
Energy of formation ... -0.333 eV/atom
Mass density ... 5523 kg/m³
Total DFT energy (no corrections) ... -0.1347 Ry per atom

***

(2)
A plane-wave DFT calculation with GGA-PBE was carried out for a relaxed LaTi crystal.

Cell lengths 6.117, 6.117, 6.117 Å; angles 90.00, 90.00, 90.00 degrees
Fractional coordinates of all 8 atoms:
La: 0.000 0.000 0.000
La: 0.500 0.000 0.500
La: 0.000 0.500 0.500
La: 0.500 0.500 0.000
Ti: 0.250 0.250 0.250
Ti: 0.250 0.750 0.750
Ti: 0.750 0.750 0.250
Ti: 0.750 0.250 0.750

Results
Density of states at the Fermi level ... 11.9 states/eV per cell
Energy of formation ... 1.756 eV/atom
Mass density ... 5419 kg/m³
Total DFT energy (no corrections) ... -0.3422 Ry per atom

***

(3)
A plane-wave DFT calculation with GGA-PBE was carried out for a relaxed Nb6VAu crystal.

Cell lengths 4.522, 5.734, 5.734 Å; angles 108.72, 90.00, 90.00 degrees
Fractional coordinates of all 8 atoms:
Nb: 0.500 0.125 0.375
Nb: 0.000 0.378 0.622
Nb: 0.000 0.353 0.103
Nb: 0.000 0.872 0.128
Nb: 0.000 0.897 0.647
Nb: 0.500 0.625 0.875
Au: 0.500 0.625 0.375
V: 0.500 0.125 0.875

Results
Density of states at the Fermi level ... 9.2 states/eV per cell
Energy of formation ... -0.020 eV/atom
Mass density ... 9498 kg/m³
Total DFT energy (no corrections) ... -0.6705 Ry per atom

***

(4)
A plane-wave DFT calculation with GGA-PBE was carried out for a relaxed CaBeTl crystal.

Cell lengths 6.221, 6.219, 3.450 Å; angles 73.94, 73.86, 32.20 degrees
Fractional coordinates of all 3 atoms:
Ca: 0.653 0.653 0.347
Tl: 0.362 0.362 0.638
Be: 0.985 0.985 0.015

Results
Density of states at the Fermi level ... 1.3 states/eV per cell
Energy of formation ... 0.196 eV/atom
Mass density ... 6182 kg/m³
Total DFT energy (no corrections) ... -0.1839 Ry per atom

***

(5)
A plane-wave DFT calculation with GGA-PBE was carried out for a relaxed Tl2TcPb crystal.

Cell lengths 3.215, 3.215, 9.545 Å; angles 90.00, 90.00, 90.00 degrees
Fractional coordinates of all 4 atoms:
Pb: 0.500 0.500 0.250
Tc: 0.500 0.500 0.750
Tl: 0.000 0.000 0.548
Tl: 0.000 0.000 0.952

Results
Density of states at the Fermi level ... 3.0 states/eV per cell
Energy of formation ... 0.587 eV/atom
Mass density ... 12013 kg/m³
Total DFT energy (no corrections) ... -0.3024 Ry per atom

***

(6)
A plane-wave DFT calculation with GGA-PBE was carried out for a relaxed Na3In2 crystal.

Cell lengths 5.676, 6.485, 9.179 Å; angles 82.22, 71.99, 64.05 degrees
Fractional coordinates of all 10 atoms:
In: 0.107 0.981 0.581
In: 0.838 0.519 0.081
In: 0.437 0.481 0.919
In: 0.669 0.019 0.419
Na: 0.911 0.000 0.000
Na: 0.284 0.041 0.205
Na: 0.075 0.459 0.705
Na: 0.530 0.959 0.795
Na: 0.239 0.541 0.295
Na: 0.661 0.500 0.500

Results
Density of states at the Fermi level ... 3.9 states/eV per cell
Energy of formation ... -0.060 eV/atom
Mass density ... 3433 kg/m³
Total DFT energy (no corrections) ... -0.1431 Ry per atom